No. 1
MoIrBr2 | PBEsol | optimized geometry

Calculated values
Formation energy (no corrections), kJ per mole of atoms: 45
Magnetization, Bohr magnetons per cell: 0.0
ΔE to the lowest computed polymorph, meV/atom: 0.0
Space-group type: Immm

a b c (Å): 3.0479 4.2812 7.2519
angles (deg): 107.17 102.13 90.00
Atoms (fractional coordinates):
Mo (0.0000, 0.5000, 0.0000)
Ir (0.5000, 0.0000, 0.0000)
Br (0.6559, 0.6559, 0.3117)
Br (0.3441, 0.3441, 0.6883)

=====

No. 2
IrBrNO2 | PBEsol | optimized geometry

Calculated values
Formation energy (no corrections), kJ per mole of atoms: 43
Magnetization, Bohr magnetons per cell: 0.0
Space-group type: P4/mmm

a b c (Å): 3.8755 3.8822 3.8822
angles (deg): 90.00 90.00 90.00
Atoms (fractional coordinates):
Ir (0.0000, 0.0000, 0.0000)
O (0.0000, 0.0000, 0.5000)
O (0.0000, 0.5000, 0.0000)
Br (0.5000, 0.5000, 0.5000)
N (0.5000, 0.0000, 0.0000)

=====

No. 3
ReIrBrN2 | PBEsol | optimized geometry

Calculated values
Formation energy (no corrections), kJ per mole of atoms: 130
Magnetization, Bohr magnetons per cell: 3.2
Space-group type: P4/mmm

a b c (Å): 3.7317 3.7317 5.5522
angles (deg): 90.00 90.00 90.00
Site moments in Bohr magnetons follow the coordinates.
Atoms (fractional coordinates):
Re (0.0000, 0.0000, 0.5000)  2.47
Ir (0.0000, 0.0000, 0.0000)  0.02
Br (0.5000, 0.5000, 0.5000)  0.10
N (0.0000, 0.5000, 0.0000)  0.07
N (0.5000, 0.0000, 0.0000)  0.07

=====

No. 4
IrSeBr2N | PBEsol | optimized geometry

Calculated values
Formation energy (no corrections), kJ per mole of atoms: 124
Magnetization, Bohr magnetons per cell: 2.7
Space-group type: P4/mmm

a b c (Å): 4.5838 5.2111 5.2111
angles (deg): 90.00 90.00 90.00
Site moments in Bohr magnetons follow the coordinates.
Atoms (fractional coordinates):
Ir (0.0000, 0.0000, 0.0000)  -0.13
Se (0.5000, 0.0000, 0.0000)  0.00
Br (0.0000, 0.0000, 0.5000)  0.02
Br (0.0000, 0.5000, 0.0000)  0.02
N (0.5000, 0.5000, 0.5000)  1.86

=====

No. 5
IrSe2BrN | PBEsol | optimized geometry

Calculated values
Formation energy (no corrections), kJ per mole of atoms: 134
Magnetization, Bohr magnetons per cell: 0.0
Space-group type: P4/mmm

a b c (Å): 4.3622 4.2623 4.2623
angles (deg): 90.00 90.00 90.00
Atoms (fractional coordinates):
Ir (0.5000, 0.5000, 0.5000)
Se (0.0000, 0.0000, 0.5000)
Se (0.0000, 0.5000, 0.0000)
Br (0.5000, 0.0000, 0.0000)
N (0.0000, 0.0000, 0.0000)

=====

No. 6
Na2IrBr | PBEsol | optimized geometry

Calculated values
Formation energy (no corrections), kJ per mole of atoms: 46
Magnetization, Bohr magnetons per cell: 2.0
Space-group type: Fm-3m

a b c (Å): 5.0232 5.0232 5.0232
angles (deg): 60.00 60.00 60.00
Site moments in Bohr magnetons follow the coordinates.
Atoms (fractional coordinates):
Na (0.2500, 0.2500, 0.2500)  -0.01
Na (0.7500, 0.7500, 0.7500)  -0.01
Ir (0.5000, 0.5000, 0.5000)  1.67
Br (0.0000, 0.0000, 0.0000)  0.14

=====

No. 7
NaIrBr3 | PBEsol | optimized geometry

Calculated values
Formation energy (no corrections), kJ per mole of atoms: -29
Magnetization, Bohr magnetons per cell: 0.3
Space-group type: Pm-3m

a b c (Å): 5.0642 5.0642 5.0642
angles (deg): 90.00 90.00 90.00
Site moments in Bohr magnetons follow the coordinates.
Atoms (fractional coordinates):
Na (0.5000, 0.5000, 0.5000)  0.00
Ir (0.0000, 0.0000, 0.0000)  0.23
Br (0.0000, 0.5000, 0.0000)  0.01
Br (0.0000, 0.0000, 0.5000)  0.01
Br (0.5000, 0.0000, 0.0000)  0.01

=====

No. 8
NbIrBr3 | PBEsol | optimized geometry

Calculated values
Formation energy (no corrections), kJ per mole of atoms: 90
Magnetization, Bohr magnetons per cell: 3.4
Space-group type: Pm-3m

a b c (Å): 4.9666 4.9666 4.9666
angles (deg): 90.00 90.00 90.00
Site moments in Bohr magnetons follow the coordinates.
Atoms (fractional coordinates):
Nb (0.5000, 0.5000, 0.5000)  2.82
Ir (0.0000, 0.0000, 0.0000)  -0.10
Br (0.0000, 0.5000, 0.0000)  -0.04
Br (0.0000, 0.0000, 0.5000)  -0.04
Br (0.5000, 0.0000, 0.0000)  -0.04